No. 1
! ReTe2SeS2 | OQMD via LeMat-Bulk | PBE | optimized geometry; values from VASP
&SYSTEM
  ibrav = 0, nat = 12, ntyp = 4
/
ATOMIC_SPECIES
S 32.06 S.upf
Re 186.21 Re.upf
Te 127.60 Te.upf
Se 78.96 Se.upf
CELL_PARAMETERS angstrom
-4.938 -1.891 -4.395
-0.215 -7.167 -0.029
-3.923 -3.483 5.792
ATOMIC_POSITIONS angstrom
S -4.376 -9.697 2.624
S -4.701 -2.845 -1.256
S -4.802 -6.084 -1.259
S -4.274 -6.458 2.627
Re -6.456 -6.586 3.585
Re -2.621 -5.956 -2.217
Te -4.568 -8.066 0.575
Te -7.405 -11.565 1.969
Te -4.509 -4.477 0.793
Te -1.672 -0.977 -0.601
Se -1.822 -4.556 -0.344
Se -7.255 -7.986 1.712
! total energy	-5.1366	eV/atom
! polymorph energy (0 for the lowest one)	36.0	meV per atom
! symmetry	P-1, No. 2

No. 2
! ReTe3SeS | OQMD via LeMat-Bulk | PBE | optimized geometry; values from VASP
&SYSTEM
  ibrav = 0, nat = 12, ntyp = 4
/
ATOMIC_SPECIES
Te 127.60 Te.upf
Re 186.21 Re.upf
Se 78.96 Se.upf
S 32.06 S.upf
CELL_PARAMETERS angstrom
7.268 0.000 0.000
-1.660 7.423 0.000
-3.061 -3.425 6.453
ATOMIC_POSITIONS angstrom
Te -1.928 5.244 2.321
Te -3.852 2.036 6.209
Te -0.803 1.390 3.991
Te 6.399 1.963 0.244
Te 3.349 2.609 2.462
Te 4.475 -1.245 4.132
Re -1.737 0.289 6.281
Re 4.284 3.710 0.171
Se -0.318 -1.749 6.450
Se 2.865 5.748 0.003
S 1.352 0.222 4.228
S 1.195 3.777 2.224
! total energy	-4.8922	eV/atom
! polymorph energy (0 for the lowest one)	62.5	meV per atom
! symmetry	P-1, No. 2

No. 3
! ReTe2SeS2 | OQMD via LeMat-Bulk | PBE | optimized geometry; values from VASP
&SYSTEM
  ibrav = 0, nat = 12, ntyp = 4
/
ATOMIC_SPECIES
S 32.06 S.upf
Re 186.21 Re.upf
Te 127.60 Te.upf
Se 78.96 Se.upf
CELL_PARAMETERS angstrom
7.214 0.000 0.000
-1.754 7.177 0.000
-2.935 -2.299 6.457
ATOMIC_POSITIONS angstrom
S 2.656 1.720 0.317
S -0.130 3.159 6.140
S 1.319 0.803 4.259
S 1.207 4.076 2.198
Re 4.178 3.575 0.150
Re -1.652 1.304 6.306
Te 6.290 1.843 0.367
Te 3.269 2.788 2.554
Te -0.743 2.091 3.903
Te -3.764 3.036 6.090
Se -2.008 5.196 1.921
Se 4.533 -0.317 4.535
! total energy	-5.0806	eV/atom
! polymorph energy (0 for the lowest one)	92.0	meV per atom
! symmetry	P-1, No. 2

No. 4
! ReTe3SeS | OQMD via LeMat-Bulk | PBE | optimized geometry; values from VASP
&SYSTEM
  ibrav = 0, nat = 12, ntyp = 4
/
ATOMIC_SPECIES
S 32.06 S.upf
Se 78.96 Se.upf
Re 186.21 Re.upf
Te 127.60 Te.upf
CELL_PARAMETERS angstrom
-6.905 -1.975 -1.106
3.595 -6.231 1.188
0.640 2.942 7.185
ATOMIC_POSITIONS angstrom
S 0.974 0.819 5.862
S -3.644 -6.083 1.404
Se 3.450 -3.765 5.979
Se -6.120 -1.499 1.287
Re -4.637 -0.184 2.939
Re 1.967 -5.080 4.327
Te -1.373 -4.362 2.361
Te -1.297 -0.902 4.905
Te -3.469 -2.530 3.827
Te 0.798 -2.734 3.439
Te -3.547 1.157 5.011
Te 0.877 -6.421 2.255
! total energy	-4.8604	eV/atom
! polymorph energy (0 for the lowest one)	94.4	meV per atom
! symmetry	P-1, No. 2

No. 5
! ReTe2SeS2 | OQMD via LeMat-Bulk | PBE | optimized geometry; values from VASP
&SYSTEM
  ibrav = 0, nat = 12, ntyp = 4
/
ATOMIC_SPECIES
Se 78.96 Se.upf
S 32.06 S.upf
Re 186.21 Re.upf
Te 127.60 Te.upf
CELL_PARAMETERS angstrom
6.858 0.000 0.000
2.137 6.844 0.000
0.015 3.743 6.860
ATOMIC_POSITIONS angstrom
Se 1.703 2.408 4.299
Se 7.306 8.179 2.562
S 2.997 3.711 1.264
S 6.012 6.876 5.597
S 4.838 3.133 5.607
S 4.171 7.454 1.253
Re 5.148 7.352 3.429
Re 3.862 3.235 3.432
Te 4.024 5.443 6.770
Te 4.985 5.144 0.090
Te 2.916 5.791 4.072
Te 6.093 4.796 2.789
! total energy	-5.1362	eV/atom
! polymorph energy (0 for the lowest one)	36.4	meV per atom
! symmetry	P-1, No. 2

No. 6
! ReTe2SeS2 | OQMD via LeMat-Bulk | PBE | optimized geometry; values from VASP
&SYSTEM
  ibrav = 0, nat = 12, ntyp = 4
/
ATOMIC_SPECIES
Re 186.21 Re.upf
Te 127.60 Te.upf
S 32.06 S.upf
Se 78.96 Se.upf
CELL_PARAMETERS angstrom
-1.273 6.354 2.121
-4.949 -4.332 2.791
7.010 0.152 3.533
ATOMIC_POSITIONS angstrom
Re 1.902 2.422 3.347
Re -1.114 -0.249 5.098
Te -0.696 2.497 4.462
Te 1.485 -0.323 3.983
Te 2.562 0.129 6.649
Te -1.774 2.044 1.797
S -0.885 -2.513 5.519
S 0.898 1.831 1.298
S 1.673 4.687 2.926
S -0.110 0.343 7.147
Se -1.799 -0.614 2.664
Se 2.587 2.788 5.781
! total energy	-5.1589	eV/atom
! polymorph energy (0 for the lowest one)	13.7	meV per atom
! symmetry	P-1, No. 2

No. 7
! ReTe3SeS | OQMD via LeMat-Bulk | PBE | optimized geometry; values from VASP
&SYSTEM
  ibrav = 0, nat = 12, ntyp = 4
/
ATOMIC_SPECIES
Se 78.96 Se.upf
Te 127.60 Te.upf
S 32.06 S.upf
Re 186.21 Re.upf
CELL_PARAMETERS angstrom
-1.253 6.681 1.423
-1.866 -1.043 -6.986
-5.387 -2.209 5.554
ATOMIC_POSITIONS angstrom
Se -2.363 0.925 -2.433
Se -6.143 2.504 2.423
Te -7.304 0.391 0.971
Te -1.201 3.038 -0.980
Te -5.560 -0.940 -3.096
Te -2.946 4.369 3.086
Te -4.124 3.430 -0.296
Te -4.382 -0.001 0.286
S -1.479 1.617 1.340
S -7.027 1.812 -1.350
Re -3.671 2.035 2.060
Re -4.834 1.395 -2.069
! total energy	-4.9074	eV/atom
! polymorph energy (0 for the lowest one)	47.3	meV per atom
! symmetry	P-1, No. 2

No. 8
! ReTe2Se2S | OQMD via LeMat-Bulk | PBE | optimized geometry; values from VASP
&SYSTEM
  ibrav = 0, nat = 12, ntyp = 4
/
ATOMIC_SPECIES
Te 127.60 Te.upf
S 32.06 S.upf
Re 186.21 Re.upf
Se 78.96 Se.upf
CELL_PARAMETERS angstrom
-2.215 3.985 4.987
-6.697 0.292 -1.814
-3.578 -4.373 5.466
ATOMIC_POSITIONS angstrom
Te -3.321 -0.436 2.593
Te -9.169 0.339 6.046
Te -6.230 -1.077 3.029
Te -6.260 0.980 5.610
S -6.144 1.345 1.553
S -6.346 -1.442 7.085
Re -8.472 -1.360 8.041
Re -4.019 1.264 0.597
Se -5.550 -3.348 4.523
Se -8.671 -1.688 4.253
Se -3.820 1.591 4.386
Se -6.940 3.251 4.115
! total energy	-5.0592	eV/atom
! polymorph energy (0 for the lowest one)	0.0	meV per atom
! symmetry	P-1, No. 2

No. 9
! ReTe3SeS | OQMD via LeMat-Bulk | PBE | optimized geometry; values from VASP
&SYSTEM
  ibrav = 0, nat = 12, ntyp = 4
/
ATOMIC_SPECIES
Re 186.21 Re.upf
S 32.06 S.upf
Te 127.60 Te.upf
Se 78.96 Se.upf
CELL_PARAMETERS angstrom
6.822 0.000 0.000
-1.722 7.321 0.000
-2.626 -2.569 7.061
ATOMIC_POSITIONS angstrom
Re 4.080 3.615 0.152
Re -1.606 1.137 6.909
S 5.967 2.271 0.581
S -3.493 2.481 6.480
Te 0.790 4.547 2.480
Te 3.296 2.835 2.677
Te -0.822 1.917 4.383
Te 4.326 -0.913 5.268
Te 1.684 0.205 4.580
Te -1.852 5.665 1.793
Se 2.450 1.697 0.413
Se 0.024 3.055 6.648
! total energy	-4.8939	eV/atom
! polymorph energy (0 for the lowest one)	60.9	meV per atom
! symmetry	P-1, No. 2

No. 10
! ReTe2SeS2 | OQMD via LeMat-Bulk | PBE | optimized geometry; values from VASP
&SYSTEM
  ibrav = 0, nat = 12, ntyp = 4
/
ATOMIC_SPECIES
Te 127.60 Te.upf
Re 186.21 Re.upf
Se 78.96 Se.upf
S 32.06 S.upf
CELL_PARAMETERS angstrom
6.666 0.000 0.000
-1.545 6.967 0.000
-2.859 -2.624 6.961
ATOMIC_POSITIONS angstrom
Te 3.240 2.403 2.624
Te -1.597 5.329 1.839
Te 3.859 -0.987 5.122
Te -0.978 1.940 4.337
Re -1.762 0.928 6.809
Re 4.025 3.415 0.152
Se 0.784 4.261 2.331
Se 1.478 0.082 4.630
S -3.656 2.313 6.412
S -0.180 2.695 6.666
S 2.443 1.647 0.295
S 5.918 2.030 0.549
! total energy	-5.1092	eV/atom
! polymorph energy (0 for the lowest one)	63.4	meV per atom
! symmetry	P-1, No. 2

No. 11
! ReTe2Se2S | OQMD via LeMat-Bulk | PBE | optimized geometry; values from VASP
&SYSTEM
  ibrav = 0, nat = 12, ntyp = 4
/
ATOMIC_SPECIES
Se 78.96 Se.upf
Re 186.21 Re.upf
Te 127.60 Te.upf
S 32.06 S.upf
CELL_PARAMETERS angstrom
-2.962 5.546 2.698
-3.460 -1.641 -6.081
-1.814 -4.283 6.424
ATOMIC_POSITIONS angstrom
Se -3.681 0.533 7.273
Se -4.555 -0.911 -4.232
Se -2.972 -0.180 -1.427
Se -5.264 -0.198 4.468
Re -5.187 -0.698 -0.356
Re -3.049 0.319 3.395
Te -4.735 1.479 1.417
Te -2.386 2.257 -0.128
Te -5.850 -2.635 3.169
Te -3.500 -1.857 1.624
S -5.368 -2.791 -1.316
S -2.868 2.413 4.357
! total energy	-5.0501	eV/atom
! polymorph energy (0 for the lowest one)	9.1	meV per atom
! symmetry	P-1, No. 2

No. 12
! ReTe3SeS | OQMD via LeMat-Bulk | PBE | optimized geometry; values from VASP
&SYSTEM
  ibrav = 0, nat = 12, ntyp = 4
/
ATOMIC_SPECIES
S 32.06 S.upf
Te 127.60 Te.upf
Se 78.96 Se.upf
Re 186.21 Re.upf
CELL_PARAMETERS angstrom
6.959 0.000 0.000
-1.968 6.897 0.000
-2.415 -1.530 6.921
ATOMIC_POSITIONS angstrom
S 5.763 0.229 2.354
S -3.186 5.138 4.567
Te 0.338 5.346 5.457
Te 3.290 2.184 4.000
Te 0.454 1.262 5.026
Te 2.238 0.021 1.464
Te 2.122 4.105 1.895
Te -0.714 3.183 2.921
Se -2.194 0.620 5.699
Se 4.770 4.747 1.222
Re -1.327 5.839 3.396
Re 3.903 -0.472 3.525
! total energy	-4.8624	eV/atom
! polymorph energy (0 for the lowest one)	92.4	meV per atom
! symmetry	P-1, No. 2

No. 13
! ReTe2Se2S | OQMD via LeMat-Bulk | PBE | optimized geometry; values from VASP
&SYSTEM
  ibrav = 0, nat = 12, ntyp = 4
/
ATOMIC_SPECIES
Te 127.60 Te.upf
Se 78.96 Se.upf
S 32.06 S.upf
Re 186.21 Re.upf
CELL_PARAMETERS angstrom
6.996 0.000 0.000
1.840 6.852 0.000
3.209 2.328 7.135
ATOMIC_POSITIONS angstrom
Te 4.581 4.986 3.756
Te 4.137 4.056 6.707
Te 7.464 4.194 3.379
Te 7.908 5.124 0.428
Se 9.014 6.337 4.593
Se 6.378 2.076 1.876
Se 5.667 7.104 5.259
Se 3.030 2.843 2.542
S 7.511 3.988 6.475
S 4.534 5.191 0.660
Re 8.929 5.783 6.952
Re 3.116 3.397 0.183
! total energy	-5.0453	eV/atom
! polymorph energy (0 for the lowest one)	13.9	meV per atom
! symmetry	P-1, No. 2

No. 14
! ReTe2Se2S | OQMD via LeMat-Bulk | PBE | optimized geometry; values from VASP
&SYSTEM
  ibrav = 0, nat = 12, ntyp = 4
/
ATOMIC_SPECIES
S 32.06 S.upf
Se 78.96 Se.upf
Te 127.60 Te.upf
Re 186.21 Re.upf
CELL_PARAMETERS angstrom
6.991 0.000 0.000
-1.581 7.533 0.000
-2.748 -3.660 6.462
ATOMIC_POSITIONS angstrom
S 1.127 3.828 2.265
S 1.535 0.045 4.197
Se -3.497 1.735 6.219
Se 2.652 1.730 0.044
Se 6.158 2.139 0.243
Se 0.010 2.143 6.418
Te 4.416 -1.483 4.268
Te -1.754 5.356 2.194
Te -0.643 1.191 4.010
Te 3.305 2.683 2.451
Re -1.526 0.109 6.336
Re 4.187 3.764 0.127
! total energy	-4.9879	eV/atom
! polymorph energy (0 for the lowest one)	71.3	meV per atom
! symmetry	P-1, No. 2

No. 15
! ReTe2SeS2 | OQMD via LeMat-Bulk | PBE | optimized geometry; values from VASP
&SYSTEM
  ibrav = 0, nat = 12, ntyp = 4
/
ATOMIC_SPECIES
Te 127.60 Te.upf
S 32.06 S.upf
Se 78.96 Se.upf
Re 186.21 Re.upf
CELL_PARAMETERS angstrom
6.775 0.000 0.000
-1.605 7.443 0.000
-2.537 -3.514 6.454
ATOMIC_POSITIONS angstrom
Te 3.236 2.692 2.473
Te -0.603 1.237 3.981
Te 4.335 -1.508 4.380
Te -1.702 5.437 2.074
S 1.592 0.070 4.159
S 5.936 2.200 0.267
S -3.304 1.729 6.187
S 1.041 3.859 2.296
Se 2.523 1.666 0.116
Se 0.111 2.264 6.338
Re 4.069 3.709 0.093
Re -1.437 0.220 6.361
! total energy	-5.0984	eV/atom
! polymorph energy (0 for the lowest one)	74.2	meV per atom
! symmetry	P-1, No. 2

No. 16
! ReTe3SeS | OQMD via LeMat-Bulk | PBE | optimized geometry; values from VASP
&SYSTEM
  ibrav = 0, nat = 12, ntyp = 4
/
ATOMIC_SPECIES
Re 186.21 Re.upf
S 32.06 S.upf
Se 78.96 Se.upf
Te 127.60 Te.upf
CELL_PARAMETERS angstrom
6.857 0.000 0.000
-1.917 7.319 0.000
-2.992 -2.514 6.773
ATOMIC_POSITIONS angstrom
Re 4.043 3.569 0.161
Re -2.095 1.235 6.612
S 5.912 2.284 0.626
S -3.963 2.521 6.147
Se 0.618 4.551 2.254
Se 1.330 0.254 4.519
Te 3.151 2.957 2.717
Te -1.933 5.561 1.875
Te 2.310 1.472 0.363
Te -1.202 1.848 4.056
Te 3.882 -0.756 4.898
Te -0.361 3.332 6.410
! total energy	-4.8703	eV/atom
! polymorph energy (0 for the lowest one)	84.5	meV per atom
! symmetry	P-1, No. 2

No. 17
! ReTe2SeS2 | OQMD via LeMat-Bulk | PBE | optimized geometry; values from VASP
&SYSTEM
  ibrav = 0, nat = 12, ntyp = 4
/
ATOMIC_SPECIES
S 32.06 S.upf
Re 186.21 Re.upf
Te 127.60 Te.upf
Se 78.96 Se.upf
CELL_PARAMETERS angstrom
6.785 0.000 0.000
-2.090 6.676 0.000
-0.264 -3.718 6.929
ATOMIC_POSITIONS angstrom
S 2.941 5.213 2.015
S 3.646 0.054 6.044
S 1.489 -2.255 4.914
S 0.785 2.904 0.885
Re 1.954 4.693 0.022
Re 2.476 -1.735 6.907
Te 1.540 3.211 3.609
Te 2.890 -0.252 3.320
Te 4.016 2.252 2.451
Te 0.414 0.706 4.478
Se 4.516 -3.245 6.195
Se -0.086 6.204 0.734
! total energy	-5.1354	eV/atom
! polymorph energy (0 for the lowest one)	37.2	meV per atom
! symmetry	P-1, No. 2

No. 18
! ReTe2SeS2 | OQMD via LeMat-Bulk | PBE | optimized geometry; values from VASP
&SYSTEM
  ibrav = 0, nat = 12, ntyp = 4
/
ATOMIC_SPECIES
Se 78.96 Se.upf
S 32.06 S.upf
Re 186.21 Re.upf
Te 127.60 Te.upf
CELL_PARAMETERS angstrom
-5.400 4.369 -0.447
-1.936 -5.208 -4.924
0.567 -3.019 7.048
ATOMIC_POSITIONS angstrom
Se -5.772 2.581 -1.584
Se -0.997 -6.440 3.261
S -2.875 0.610 -1.312
S -3.894 -4.469 2.989
S -3.583 -2.617 -1.039
S -3.186 -1.242 2.716
Re -4.851 0.427 -2.683
Re -1.918 -4.285 4.360
Te -4.793 -0.623 -0.187
Te -1.908 -5.228 -1.874
Te -1.976 -3.236 1.864
Te -4.861 1.370 3.551
! total energy	-5.1070	eV/atom
! polymorph energy (0 for the lowest one)	65.6	meV per atom
! symmetry	P-1, No. 2

No. 19
! ReTe2Se2S | OQMD via LeMat-Bulk | PBE | optimized geometry; values from VASP
&SYSTEM
  ibrav = 0, nat = 12, ntyp = 4
/
ATOMIC_SPECIES
Te 127.60 Te.upf
S 32.06 S.upf
Se 78.96 Se.upf
Re 186.21 Re.upf
CELL_PARAMETERS angstrom
-3.793 5.481 -0.928
-4.408 -4.713 3.594
5.884 1.173 5.342
ATOMIC_POSITIONS angstrom
Te 0.595 -0.254 4.816
Te 0.679 2.747 3.884
Te -2.996 -0.805 4.124
Te -2.912 2.196 3.192
S -1.300 3.394 6.103
S -1.018 -1.452 1.906
Se 0.035 5.301 3.545
Se -2.353 -3.359 4.463
Se 0.124 0.643 7.328
Se -2.442 1.299 0.680
Re 2.535 0.218 6.698
Re -4.852 1.723 1.310
! total energy	-4.9529	eV/atom
! polymorph energy (0 for the lowest one)	106.3	meV per atom
! symmetry	P-1, No. 2

No. 20
! ReTe3SeS | OQMD via LeMat-Bulk | PBE | optimized geometry; values from VASP
&SYSTEM
  ibrav = 0, nat = 12, ntyp = 4
/
ATOMIC_SPECIES
Te 127.60 Te.upf
Se 78.96 Se.upf
S 32.06 S.upf
Re 186.21 Re.upf
CELL_PARAMETERS angstrom
-4.802 4.902 1.369
-3.490 -6.249 -0.067
4.377 1.481 6.755
ATOMIC_POSITIONS angstrom
Te -1.273 1.911 3.972
Te -3.912 0.761 3.406
Te -0.003 -0.628 4.651
Te 0.457 4.738 7.082
Te -4.372 -4.605 0.975
Te -2.642 -1.778 4.085
Se -2.459 -1.709 1.061
Se -1.456 1.842 6.996
S -5.501 -1.794 2.844
S 1.585 1.928 5.213
Re 0.933 2.023 7.397
Re -4.848 -1.889 0.660
! total energy	-4.9194	eV/atom
! polymorph energy (0 for the lowest one)	35.4	meV per atom
! symmetry	P-1, No. 2